# 1
# Al3In12Ga5 | Alexandria via LeMat-Bulk | PBE | relaxed
# Theoretical density (g/cm³): 5.44
# E_tot (eV/atom): -2.78
# Magnetic moment (μB per formula unit): 0.00
data_Al3In12Ga5
_space_group_name_H-M_alt 'P 1'
_space_group_IT_number 1
_cell_length_a 14.207
_cell_length_b 14.207
_cell_length_c 14.207
_cell_angle_alpha 109.47
_cell_angle_beta 109.47
_cell_angle_gamma 109.47
loop_
_space_group_symop_operation_xyz
'x,y,z'
loop_
_atom_site_label
_atom_site_type_symbol
_atom_site_fract_x
_atom_site_fract_y
_atom_site_fract_z
Al1 Al 0.125 0.250 0.375
Al2 Al 0.125 0.375 0.750
Al3 Al 0.250 0.375 0.125
Al4 Al 0.250 0.875 0.625
Al5 Al 0.375 0.125 0.250
Al6 Al 0.375 0.750 0.125
Al7 Al 0.625 0.250 0.875
Al8 Al 0.625 0.875 0.750
Al9 Al 0.750 0.125 0.375
Al10 Al 0.750 0.625 0.875
Al11 Al 0.875 0.625 0.250
Al12 Al 0.875 0.750 0.625
In1 In 0.056 0.229 0.124
In2 In 0.056 0.327 0.933
In3 In 0.067 0.624 0.395
In4 In 0.067 0.944 0.673
In5 In 0.105 0.729 0.673
In6 In 0.105 0.876 0.433
In7 In 0.124 0.056 0.229
In8 In 0.124 0.567 0.895
In9 In 0.173 0.229 0.605
In10 In 0.173 0.444 0.567
In11 In 0.229 0.124 0.056
In12 In 0.229 0.605 0.173
In13 In 0.271 0.327 0.895
In14 In 0.271 0.444 0.376
In15 In 0.327 0.895 0.271
In16 In 0.327 0.933 0.056
In17 In 0.376 0.271 0.444
In18 In 0.376 0.605 0.933
In19 In 0.395 0.067 0.624
In20 In 0.395 0.827 0.771
In21 In 0.433 0.105 0.876
In22 In 0.433 0.827 0.556
In23 In 0.444 0.376 0.271
In24 In 0.444 0.567 0.173
In25 In 0.556 0.433 0.827
In26 In 0.556 0.624 0.729
In27 In 0.567 0.173 0.444
In28 In 0.567 0.895 0.124
In29 In 0.605 0.173 0.229
In30 In 0.605 0.933 0.376
In31 In 0.624 0.395 0.067
In32 In 0.624 0.729 0.556
In33 In 0.673 0.067 0.944
In34 In 0.673 0.105 0.729
In35 In 0.729 0.556 0.624
In36 In 0.729 0.673 0.105
In37 In 0.771 0.395 0.827
In38 In 0.771 0.876 0.944
In39 In 0.827 0.556 0.433
In40 In 0.827 0.771 0.395
In41 In 0.876 0.433 0.105
In42 In 0.876 0.944 0.771
In43 In 0.895 0.124 0.567
In44 In 0.895 0.271 0.327
In45 In 0.933 0.056 0.327
In46 In 0.933 0.376 0.605
In47 In 0.944 0.673 0.067
In48 In 0.944 0.771 0.876
Ga1 Ga 0.000 0.000 0.000
Ga2 Ga 0.000 0.000 0.500
Ga3 Ga 0.000 0.500 0.000
Ga4 Ga 0.000 0.500 0.500
Ga5 Ga 0.125 0.750 0.875
Ga6 Ga 0.125 0.875 0.250
Ga7 Ga 0.250 0.125 0.875
Ga8 Ga 0.250 0.625 0.375
Ga9 Ga 0.375 0.250 0.625
Ga10 Ga 0.375 0.625 0.750
Ga11 Ga 0.500 0.000 0.000
Ga12 Ga 0.500 0.000 0.500
Ga13 Ga 0.500 0.500 0.000
Ga14 Ga 0.500 0.500 0.500
Ga15 Ga 0.625 0.375 0.250
Ga16 Ga 0.625 0.750 0.375
Ga17 Ga 0.750 0.375 0.625
Ga18 Ga 0.750 0.875 0.125
Ga19 Ga 0.875 0.125 0.750
Ga20 Ga 0.875 0.250 0.125



# 2
# AlIn2Ga | Alexandria via LeMat-Bulk | PBE | relaxed
# ΔE to the lowest computed polymorph (eV/atom): 0.0285
# Theoretical density (g/cm³): 5.92
# E_tot (eV/atom): -2.91
# Magnetic moment (μB per formula unit): 0.00
data_AlIn2Ga
_space_group_name_H-M_alt 'P 1'
_space_group_IT_number 1
_cell_length_a 5.058
_cell_length_b 5.058
_cell_length_c 5.058
_cell_angle_alpha 60.00
_cell_angle_beta 60.00
_cell_angle_gamma 60.00
loop_
_space_group_symop_operation_xyz
'x,y,z'
loop_
_atom_site_label
_atom_site_type_symbol
_atom_site_fract_x
_atom_site_fract_y
_atom_site_fract_z
Al1 Al 0.000 0.000 0.000
In1 In 0.250 0.250 0.250
In2 In 0.750 0.750 0.750
Ga1 Ga 0.500 0.500 0.500



# 3
# AlInGa | Alexandria via LeMat-Bulk | PBE | relaxed
# ΔE to the lowest computed polymorph (eV/atom): 0.0000
# Theoretical density (g/cm³): 5.61
# E_tot (eV/atom): -3.12
# Magnetic moment (μB per formula unit): 0.00
data_AlInGa
_space_group_name_H-M_alt 'P 1'
_space_group_IT_number 1
_cell_length_a 3.141
_cell_length_b 3.141
_cell_length_c 12.682
_cell_angle_alpha 90.02
_cell_angle_beta 90.02
_cell_angle_gamma 90.00
loop_
_space_group_symop_operation_xyz
'x,y,z'
loop_
_atom_site_label
_atom_site_type_symbol
_atom_site_fract_x
_atom_site_fract_y
_atom_site_fract_z
Al1 Al 0.250 0.250 0.069
Al2 Al 0.750 0.750 0.931
In1 In 0.251 0.251 0.396
In2 In 0.749 0.749 0.604
Ga1 Ga 0.250 0.250 0.786
Ga2 Ga 0.750 0.750 0.214



# 4
# AlInGa2 | Alexandria via LeMat-Bulk | PBE | relaxed
# ΔE to the lowest computed polymorph (eV/atom): 0.0393
# Theoretical density (g/cm³): 5.63
# E_tot (eV/atom): -3.05
# Magnetic moment (μB per formula unit): 0.00
data_AlInGa2
_space_group_name_H-M_alt 'P 1'
_space_group_IT_number 1
_cell_length_a 8.847
_cell_length_b 8.847
_cell_length_c 8.847
_cell_angle_alpha 21.71
_cell_angle_beta 21.71
_cell_angle_gamma 21.71
loop_
_space_group_symop_operation_xyz
'x,y,z'
loop_
_atom_site_label
_atom_site_type_symbol
_atom_site_fract_x
_atom_site_fract_y
_atom_site_fract_z
Al1 Al 0.000 0.000 0.000
In1 In 0.500 0.500 0.500
Ga1 Ga 0.257 0.257 0.257
Ga2 Ga 0.743 0.743 0.743



# 5
# Al2InGa | Alexandria via LeMat-Bulk | PBE | relaxed
# ΔE to the lowest computed polymorph (eV/atom): 0.0300
# Theoretical density (g/cm³): 4.83
# E_tot (eV/atom): -3.16
# Magnetic moment (μB per formula unit): 0.00
data_Al2InGa
_space_group_name_H-M_alt 'P 1'
_space_group_IT_number 1
_cell_length_a 10.267
_cell_length_b 10.267
_cell_length_c 10.267
_cell_angle_alpha 17.14
_cell_angle_beta 17.14
_cell_angle_gamma 17.14
loop_
_space_group_symop_operation_xyz
'x,y,z'
loop_
_atom_site_label
_atom_site_type_symbol
_atom_site_fract_x
_atom_site_fract_y
_atom_site_fract_z
Al1 Al 0.094 0.094 0.094
Al2 Al 0.906 0.906 0.906
In1 In 0.000 0.000 0.000
Ga1 Ga 0.500 0.500 0.500



# 6
# Al2In2Ga15 | Alexandria via LeMat-Bulk | PBE | relaxed
# Theoretical density (g/cm³): 5.79
# E_tot (eV/atom): -3.02
# Magnetic moment (μB per formula unit): 0.00
data_Al2In2Ga15
_space_group_name_H-M_alt 'P 1'
_space_group_IT_number 1
_cell_length_a 7.411
_cell_length_b 7.411
_cell_length_c 7.411
_cell_angle_alpha 77.38
_cell_angle_beta 77.38
_cell_angle_gamma 77.38
loop_
_space_group_symop_operation_xyz
'x,y,z'
loop_
_atom_site_label
_atom_site_type_symbol
_atom_site_fract_x
_atom_site_fract_y
_atom_site_fract_z
Al1 Al 0.102 0.102 0.102
Al2 Al 0.898 0.898 0.898
In1 In 0.315 0.315 0.315
In2 In 0.685 0.685 0.685
Ga1 Ga 0.000 0.000 0.500
Ga2 Ga 0.000 0.285 0.715
Ga3 Ga 0.000 0.500 0.000
Ga4 Ga 0.000 0.715 0.285
Ga5 Ga 0.155 0.605 0.605
Ga6 Ga 0.285 0.000 0.715
Ga7 Ga 0.285 0.715 0.000
Ga8 Ga 0.395 0.395 0.845
Ga9 Ga 0.395 0.845 0.395
Ga10 Ga 0.500 0.000 0.000
Ga11 Ga 0.605 0.155 0.605
Ga12 Ga 0.605 0.605 0.155
Ga13 Ga 0.715 0.000 0.285
Ga14 Ga 0.715 0.285 0.000
Ga15 Ga 0.845 0.395 0.395



# 7
# Al2InGa | Alexandria via LeMat-Bulk | PBE | relaxed
# ΔE to the lowest computed polymorph (eV/atom): 0.0605
# Theoretical density (g/cm³): 4.89
# E_tot (eV/atom): -3.13
# Magnetic moment (μB per formula unit): 0.00
data_Al2InGa
_space_group_name_H-M_alt 'P 1'
_space_group_IT_number 1
_cell_length_a 4.855
_cell_length_b 4.855
_cell_length_c 4.855
_cell_angle_alpha 60.00
_cell_angle_beta 60.00
_cell_angle_gamma 60.00
loop_
_space_group_symop_operation_xyz
'x,y,z'
loop_
_atom_site_label
_atom_site_type_symbol
_atom_site_fract_x
_atom_site_fract_y
_atom_site_fract_z
Al1 Al 0.250 0.250 0.250
Al2 Al 0.750 0.750 0.750
In1 In 0.000 0.000 0.000
Ga1 Ga 0.500 0.500 0.500



# 8
# Al3In3Ga8 | Alexandria via LeMat-Bulk | PBE | relaxed
# Theoretical density (g/cm³): 5.74
# E_tot (eV/atom): -3.08
# Magnetic moment (μB per formula unit): 0.00
data_Al3In3Ga8
_space_group_name_H-M_alt 'P 1'
_space_group_IT_number 1
_cell_length_a 8.557
_cell_length_b 8.557
_cell_length_c 8.557
_cell_angle_alpha 151.77
_cell_angle_beta 100.99
_cell_angle_gamma 85.89
loop_
_space_group_symop_operation_xyz
'x,y,z'
loop_
_atom_site_label
_atom_site_type_symbol
_atom_site_fract_x
_atom_site_fract_y
_atom_site_fract_z
Al1 Al 0.000 0.000 0.000
Al2 Al 0.182 0.500 0.682
Al3 Al 0.818 0.500 0.318
In1 In 0.196 0.696 0.500
In2 In 0.500 0.000 0.500
In3 In 0.804 0.304 0.500
Ga1 Ga 0.062 0.853 0.209
Ga2 Ga 0.227 0.352 0.875
Ga3 Ga 0.355 0.147 0.209
Ga4 Ga 0.477 0.352 0.125
Ga5 Ga 0.523 0.648 0.875
Ga6 Ga 0.645 0.853 0.791
Ga7 Ga 0.773 0.648 0.125
Ga8 Ga 0.938 0.147 0.791



# 9
# Al3InGa | Alexandria via LeMat-Bulk | PBE | relaxed
# ΔE to the lowest computed polymorph (eV/atom): 0.0000
# Theoretical density (g/cm³): 3.70
# E_tot (eV/atom): -2.92
# Magnetic moment (μB per formula unit): 0.00
data_Al3InGa
_space_group_name_H-M_alt 'P 1'
_space_group_IT_number 1
_cell_length_a 4.919
_cell_length_b 4.919
_cell_length_c 4.919
_cell_angle_alpha 90.00
_cell_angle_beta 90.00
_cell_angle_gamma 90.00
loop_
_space_group_symop_operation_xyz
'x,y,z'
loop_
_atom_site_label
_atom_site_type_symbol
_atom_site_fract_x
_atom_site_fract_y
_atom_site_fract_z
Al1 Al 0.000 0.000 0.500
Al2 Al 0.000 0.500 0.000
Al3 Al 0.500 0.000 0.000
In1 In 0.500 0.500 0.500
Ga1 Ga 0.000 0.000 0.000



# 10
# AlIn2Ga | Alexandria via LeMat-Bulk | PBE | relaxed
# ΔE to the lowest computed polymorph (eV/atom): 0.0466
# Theoretical density (g/cm³): 5.49
# E_tot (eV/atom): -2.90
# Magnetic moment (μB per formula unit): 0.00
data_AlIn2Ga
_space_group_name_H-M_alt 'P 1'
_space_group_IT_number 1
_cell_length_a 6.398
_cell_length_b 6.398
_cell_length_c 6.398
_cell_angle_alpha 40.27
_cell_angle_beta 40.27
_cell_angle_gamma 40.27
loop_
_space_group_symop_operation_xyz
'x,y,z'
loop_
_atom_site_label
_atom_site_type_symbol
_atom_site_fract_x
_atom_site_fract_y
_atom_site_fract_z
Al1 Al 0.000 0.000 0.000
In1 In 0.249 0.249 0.249
In2 In 0.425 0.425 0.425
Ga1 Ga 0.838 0.838 0.838



# 11
# AlInGa2 | Alexandria via LeMat-Bulk | PBE | relaxed
# ΔE to the lowest computed polymorph (eV/atom): 0.0026
# Theoretical density (g/cm³): 5.72
# E_tot (eV/atom): -3.09
# Magnetic moment (μB per formula unit): 0.00
data_AlInGa2
_space_group_name_H-M_alt 'P 1'
_space_group_IT_number 1
_cell_length_a 3.112
_cell_length_b 3.112
_cell_length_c 8.436
_cell_angle_alpha 90.00
_cell_angle_beta 90.00
_cell_angle_gamma 90.00
loop_
_space_group_symop_operation_xyz
'x,y,z'
loop_
_atom_site_label
_atom_site_type_symbol
_atom_site_fract_x
_atom_site_fract_y
_atom_site_fract_z
Al1 Al 0.000 0.000 0.000
In1 In 0.000 0.000 0.500
Ga1 Ga 0.500 0.500 0.212
Ga2 Ga 0.500 0.500 0.788



# 12
# Al2InGa4 | Alexandria via LeMat-Bulk | PBE | relaxed
# Theoretical density (g/cm³): 5.08
# E_tot (eV/atom): -3.06
# Magnetic moment (μB per formula unit): 0.00
data_Al2InGa4
_space_group_name_H-M_alt 'P 1'
_space_group_IT_number 1
_cell_length_a 9.935
_cell_length_b 9.935
_cell_length_c 9.935
_cell_angle_alpha 128.40
_cell_angle_beta 128.40
_cell_angle_gamma 75.98
loop_
_space_group_symop_operation_xyz
'x,y,z'
loop_
_atom_site_label
_atom_site_type_symbol
_atom_site_fract_x
_atom_site_fract_y
_atom_site_fract_z
Al1 Al 0.270 0.696 0.575
Al2 Al 0.304 0.379 0.575
Al3 Al 0.304 0.730 0.925
Al4 Al 0.379 0.304 0.075
Al5 Al 0.621 0.696 0.925
Al6 Al 0.696 0.270 0.075
Al7 Al 0.696 0.621 0.425
Al8 Al 0.730 0.304 0.425
In1 In 0.000 0.000 0.000
In2 In 0.000 0.000 0.500
In3 In 0.000 0.500 0.000
In4 In 0.500 0.000 0.500
Ga1 Ga 0.000 0.500 0.500
Ga2 Ga 0.100 0.350 0.201
Ga3 Ga 0.100 0.900 0.750
Ga4 Ga 0.134 0.384 0.750
Ga5 Ga 0.350 0.100 0.701
Ga6 Ga 0.350 0.650 0.250
Ga7 Ga 0.384 0.134 0.250
Ga8 Ga 0.500 0.000 0.000
Ga9 Ga 0.500 0.500 0.000
Ga10 Ga 0.500 0.500 0.500
Ga11 Ga 0.616 0.866 0.750
Ga12 Ga 0.650 0.350 0.750
Ga13 Ga 0.650 0.900 0.299
Ga14 Ga 0.866 0.616 0.250
Ga15 Ga 0.900 0.100 0.250
Ga16 Ga 0.900 0.650 0.799